Entry 1:
KLiMn2 after structural relaxation. Source: Alexandria, functional PBE.

Output
V: 23.813 Å³/atom
Calculated density: 2.718 g/cm3
Formation energy from the elements: 850 meV/atom
SG: No. 44
Distance to the lowest polymorph of the same formula: 0.753 eV per formula unit

Cell lengths 6.4935, 6.4935, 6.4935 Å; angles 154.13, 126.62, 60.25 degrees
Last column: nearest neighbours and their distance in Å.
Fractional positions:
K 0.5042 0.5042 0.0000  2 K 2.91
Li 0.2136 0.7136 0.5000  2 Li 2.91, 2 Mn 2.94
Mn 0.9862 0.9862 0.0000  2 Mn 2.58
Mn 0.7960 0.2960 0.5000  2 Mn 2.58

Entry 2:
Pm2PaTcO8 after structural relaxation. Source: Alexandria, functional PBE.

Output
V: 15.123 Å³/atom
Raw formation energy: -33.658 eV per formula unit
Calculated density: 6.836 g/cm3
SG: No. 65

Cell lengths 5.1331, 5.1362, 6.8853 Å; angles 90.00, 90.00, 91.42 degrees
Last column: nearest neighbours and their distance in Å.
Fractional positions:
Pm 0.5002 0.5002 0.7584  6 O 2.31-2.38
Pm 0.4998 0.4998 0.2416  6 O 2.31-2.38
Pa 0.0000 0.0000 0.5000  6 O 2.12-2.25
Tc 0.0000 0.0000 0.0000  6 O 1.92-2.06
O 0.1773 0.8233 0.2327  1 Tc 2.06, 1 Pa 2.25
O 0.7325 0.7324 0.0002  1 Tc 1.92
O 0.8229 0.1769 0.2326  1 Tc 2.06, 1 Pa 2.25
O 0.8227 0.1767 0.7673  1 Tc 2.06, 1 Pa 2.25
O 0.2675 0.2676 0.9998  1 Tc 1.92
O 0.1771 0.8231 0.7674  1 Tc 2.06, 1 Pa 2.25
O 0.7046 0.7044 0.4999  1 Pa 2.12, 2 Pm 2.31
O 0.2954 0.2956 0.5001  1 Pa 2.12, 2 Pm 2.31

Entry 3:
AlFe2Te after structural relaxation. Source: Alexandria, functional PBE.

Output
V: 15.066 Å³/atom
Raw formation energy: 0.952 eV per formula unit
Calculated density: 7.337 g/cm3
SG: No. 44
Distance to the lowest polymorph of the same formula: 0.451 eV per formula unit

Cell lengths 5.0358, 5.0358, 5.0358 Å; angles 139.99, 131.94, 64.26 degrees
Last column: nearest neighbours and their distance in Å.
Fractional positions:
Te 0.5092 0.5092 0.0000  8 Fe 2.68-2.96, 4 Al 2.86
Fe 0.9902 0.9902 0.0000  2 Fe 2.62, 4 Te 2.68, 2 Al 2.75
Fe 0.7585 0.2585 0.5000  2 Fe 2.62, 4 Al 2.68, 2 Te 2.74
Al 0.2421 0.7421 0.5000  8 Fe 2.68-2.95, 4 Te 2.86

Entry 4:
ZnHgTe2 after structural relaxation. Source: Alexandria, functional PBE.

Output
V: 26.899 Å³/atom
Raw formation energy: 0.348 eV per formula unit
Calculated density: 8.044 g/cm3
SG: No. 71

Cell lengths 6.7038, 6.7038, 6.7038 Å; angles 145.17, 141.01, 53.27 degrees
Last column: nearest neighbours and their distance in Å.
Fractional positions:
Hg 0.2500 0.7500 0.5000  4 Zn 3.01, 4 Te 3.04
Te 0.9212 0.9212 0.0000  2 Zn 2.87, 2 Hg 3.04
Te 0.5788 0.5788 0.0000  2 Zn 2.87, 2 Hg 3.04
Zn 0.7500 0.2500 0.5000  4 Te 2.87, 4 Hg 3.01

Entry 5:
Pm4SiTe2As after structural relaxation. Source: Alexandria, functional PBE.

Output
V: 29.385 Å³/atom
Raw formation energy: -10.823 eV per formula unit
Calculated density: 6.627 g/cm3
SG: No. 10

Cell lengths 4.3242, 7.4943, 7.6696 Å; angles 108.95, 90.00, 90.00 degrees
Last column: nearest neighbours and their distance in Å.
Fractional positions:
Pm 0.5000 0.2440 0.2213  1 Si 2.95, 2 As 2.98, 3 Te 3.20-3.23
Pm 0.5000 0.7560 0.7787  1 Si 2.95, 2 As 2.98, 3 Te 3.20-3.23
Pm 0.0000 0.2625 0.7778  2 Si 2.96, 1 As 2.99, 3 Te 3.19-3.22
Pm 0.0000 0.7375 0.2222  2 Si 2.96, 1 As 2.99, 3 Te 3.19-3.22
Si 0.5000 0.5000 0.0000  6 Pm 2.95-2.96
Te 0.5000 0.0000 0.5000  6 Pm 3.22-3.23
Te 0.0000 0.5000 0.5000  6 Pm 3.19-3.20
As 0.0000 0.0000 0.0000  6 Pm 2.98-2.99

Entry 6:
KGaPd2Br after structural relaxation. Source: Alexandria, functional PBE.

Output
V: 28.058 Å³/atom
Raw formation energy: 1.205 eV per formula unit
Calculated density: 4.753 g/cm3
SG: No. 123

Cell lengths 4.9307, 5.7705, 4.9307 Å; angles 90.00, 90.00, 90.00 degrees
Last column: nearest neighbours and their distance in Å.
Fractional positions:
K 0.0000 0.5000 0.0000  2 Br 2.89
Ga 0.5000 0.5000 0.5000  4 K 3.49, 8 Pd 3.80
Br 0.0000 0.0000 0.0000  4 Pd 2.47
Pd 0.0000 0.0000 0.5000  2 Br 2.47
Pd 0.5000 0.0000 0.0000  2 Br 2.47

Entry 7:
PmSbBr after structural relaxation. Source: Alexandria, functional PBE.

Output
V: 28.370 Å³/atom
Raw formation energy: -2.754 eV per formula unit
Calculated density: 6.764 g/cm3
SG: No. 187
Distance to the lowest polymorph of the same formula: 0.000 eV per formula unit

Cell lengths 3.6901, 5.1607, 5.1607 Å; angles 120.00, 90.00, 90.00 degrees
Last column: nearest neighbours and their distance in Å.
Fractional positions:
Sb 0.6666 0.6667 0.3333  6 Br 3.50-3.51, 6 Pm 3.50, 2 Sb 3.69
Br 0.1669 0.3333 0.6667  3 Pm 2.98
Pm 0.1665 0.0000 0.0000  3 Br 2.98

Entry 8:
LiHf3Pa2N6 after structural relaxation. Source: Alexandria, functional PBE.

Output
V: 12.744 Å³/atom
Raw formation energy: -19.442 eV per formula unit
Calculated density: 11.820 g/cm3
SG: No. 12

Cell lengths 3.2750, 6.7342, 7.3691 Å; angles 104.79, 102.84, 90.00 degrees
Last column: nearest neighbours and their distance in Å.
Fractional positions:
Li 0.5000 0.0000 0.0000  6 N 2.35-2.44
Hf 0.5000 0.5000 0.0000  6 N 2.22-2.26
Hf 0.8403 0.1690 0.6807  6 N 2.20-2.38
Hf 0.1597 0.8310 0.3193  6 N 2.20-2.38
Pa 0.8378 0.6738 0.6756  6 N 2.28-2.49
Pa 0.1622 0.3262 0.3244  6 N 2.28-2.49
N 0.3312 0.9292 0.6625  3 Hf 2.28-2.38, 1 Li 2.35, 2 Pa 2.39
N 0.6598 0.6028 0.3197  3 Hf 2.22-2.25, 1 Pa 2.48
N 0.6688 0.0708 0.3375  3 Hf 2.28-2.38, 1 Li 2.35, 2 Pa 2.39
N 0.9987 0.2670 0.9974  3 Hf 2.20-2.26, 1 Pa 2.28, 2 Li 2.44
N 0.0013 0.7330 0.0026  3 Hf 2.20-2.26, 1 Pa 2.28, 2 Li 2.44
N 0.3402 0.3972 0.6803  3 Hf 2.22-2.25, 1 Pa 2.48